Below is a geometry-optimized Sr2AsPt structure, with properties calculated at the PBE-GGA level.

- ΔE_f (eV per atom) = -0.630

a b c (Å): 6.256 6.256 6.256
angles (deg): 138.74 138.74 59.77
Element x y z (fractional)
Sr 0.000 0.000 0.000
Sr 0.750 0.250 0.500
As 0.250 0.750 0.500
Pt 0.500 0.500 0.000

---

Below is a geometry-optimized Sr2AsPt structure, with properties calculated at the PBE-GGA level.

- ΔE_f (eV per atom) = -0.699

a b c (Å): 8.185 8.185 8.185
angles (deg): 30.18 30.18 30.18
Element x y z (fractional)
Sr 0.245 0.245 0.245
Sr 0.755 0.755 0.755
As 0.000 0.000 0.000
Pt 0.500 0.500 0.500

---

Below is a geometry-optimized Sr2AsPt2 structure, with properties calculated at the PBE-GGA level.

- ΔE_f (eV per atom) = -0.677

a b c (Å): 7.347 7.347 4.487
angles (deg): 90.00 90.00 90.00
Element x y z (fractional)
Sr 0.178 0.322 0.000
Sr 0.322 0.822 0.000
Sr 0.678 0.178 0.000
Sr 0.822 0.678 0.000
As 0.000 0.000 0.500
As 0.500 0.500 0.500
Pt 0.130 0.630 0.500
Pt 0.370 0.130 0.500
Pt 0.630 0.870 0.500
Pt 0.870 0.370 0.500

---

Below is a geometry-optimized Sr2AsPt2 structure, with properties calculated at the PBE-GGA level.

- ΔE_f (eV per atom) = -0.730

a b c (Å): 5.652 5.652 5.652
angles (deg): 115.89 115.89 97.27
Element x y z (fractional)
Sr 0.250 0.750 0.500
Sr 0.750 0.250 0.500
As 0.000 0.000 0.000
Pt 0.329 0.329 0.000
Pt 0.671 0.671 0.000

---

Below is a geometry-optimized Sr3As4Pt2 structure, with properties calculated at the PBE-GGA level.

- ΔE_f (eV per atom) = -0.872

a b c (Å): 6.185 6.185 8.809
angles (deg): 108.72 108.72 42.79
Element x y z (fractional)
Sr 0.000 0.000 0.000
Sr 0.380 0.380 0.317
Sr 0.620 0.620 0.683
As 0.123 0.123 0.407
As 0.279 0.279 0.938
As 0.721 0.721 0.062
As 0.877 0.877 0.593
Pt 0.326 0.326 0.677
Pt 0.674 0.674 0.323

---

Below is a geometry-optimized SrAsPt structure, with properties calculated at the PBE-GGA level.

- ΔE_f (eV per atom) = -0.549

a b c (Å): 5.944 5.944 5.944
angles (deg): 144.54 144.54 51.02
Element x y z (fractional)
Sr 0.000 0.000 0.000
As 0.718 0.718 0.000
Pt 0.286 0.286 0.000

---

- Look up the ΔE_f of the second one.
  -0.699 eV per atom